Density functional theory data (GGA-PBE) for an optimized crystal structure of RbLaCu2Br8.

Results
Energy relative to the elements, uncorrected: -1.02 eV/atom

a = 7.0028 Å, b = 7.0028 Å, c = 9.3181 Å
α = 112.07°, β = 112.07°, γ = 90.00°
Site moments in Bohr magnetons follow the coordinates.
Fractional coordinates of all 12 atoms:
Br (0.5994, 0.7154, 0.6711)  0.11
Br (0.7092, 0.2773, 0.8764)  0.09
Br (0.0443, 0.4006, 0.3289)  0.11
Br (0.2846, 0.9283, 0.3289)  0.11
Br (0.0717, 0.9557, 0.6711)  0.11
Br (0.1671, 0.5991, 0.8764)  0.09
Br (0.7227, 0.8329, 0.1236)  0.09
Br (0.4009, 0.2908, 0.1236)  0.09
Rb (0.7500, 0.2500, 0.5000)  0.00
Cu (0.5000, 0.5000, 0.0000)  0.36
Cu (0.2500, 0.7500, 0.5000)  0.39
La (0.0000, 0.0000, 0.0000)  0.00